Entry 1:
# PBE BaSrZn, relaxed
data_BaSrZn
_space_group_name_H-M_alt 'P 1'
_space_group_IT_number 1
_cell_length_a 5.692
_cell_length_b 5.692
_cell_length_c 5.692
_cell_angle_alpha 60.00
_cell_angle_beta 60.00
_cell_angle_gamma 60.00
loop_
_space_group_symop_operation_xyz
'x,y,z'
loop_
_atom_site_label
_atom_site_type_symbol
_atom_site_fract_x
_atom_site_fract_y
_atom_site_fract_z
Ba1 Ba 0.000 0.000 0.000
Sr1 Sr 0.500 0.500 0.500
Zn1 Zn 0.750 0.750 0.750
# Mass density in Mg/m³: 3.70
# V in A^3/atom: 43.5
# Calculated total energy in eV per atom: -1.64
# DOS at the Fermi energy in states/eV per atom: 1.60

***

Entry 2:
# PBE BaSr3Zn3, relaxed
data_BaSr3Zn3
_space_group_name_H-M_alt 'P 1'
_space_group_IT_number 1
_cell_length_a 9.615
_cell_length_b 9.615
_cell_length_c 9.615
_cell_angle_alpha 55.40
_cell_angle_beta 55.40
_cell_angle_gamma 55.40
loop_
_space_group_symop_operation_xyz
'x,y,z'
loop_
_atom_site_label
_atom_site_type_symbol
_atom_site_fract_x
_atom_site_fract_y
_atom_site_fract_z
Ba1 Ba 0.100 0.100 0.100
Ba2 Ba 0.900 0.900 0.900
Sr1 Sr 0.090 0.583 0.583
Sr2 Sr 0.417 0.417 0.910
Sr3 Sr 0.417 0.910 0.417
Sr4 Sr 0.583 0.090 0.583
Sr5 Sr 0.583 0.583 0.090
Sr6 Sr 0.910 0.417 0.417
Zn1 Zn 0.166 0.166 0.666
Zn2 Zn 0.166 0.666 0.166
Zn3 Zn 0.334 0.834 0.834
Zn4 Zn 0.666 0.166 0.166
Zn5 Zn 0.834 0.334 0.834
Zn6 Zn 0.834 0.834 0.334
# Mass density in Mg/m³: 3.53
# V in A^3/atom: 40.1
# Calculated total energy in eV per atom: -1.64
# DOS at the Fermi energy in states/eV per atom: 1.14

***

Entry 3:
# PBE BaSrZn, relaxed
data_BaSrZn
_space_group_name_H-M_alt 'P 1'
_space_group_IT_number 1
_cell_length_a 5.676
_cell_length_b 5.676
_cell_length_c 5.676
_cell_angle_alpha 60.00
_cell_angle_beta 60.00
_cell_angle_gamma 60.00
loop_
_space_group_symop_operation_xyz
'x,y,z'
loop_
_atom_site_label
_atom_site_type_symbol
_atom_site_fract_x
_atom_site_fract_y
_atom_site_fract_z
Ba1 Ba 0.000 0.000 0.000
Sr1 Sr 0.750 0.750 0.750
Zn1 Zn 0.250 0.250 0.250
# Mass density in Mg/m³: 3.73
# V in A^3/atom: 43.1
# Calculated total energy in eV per atom: -1.16
# DOS at the Fermi energy in states/eV per atom: 1.61

***

Entry 4:
# PBE Ba2SrZn, relaxed
data_Ba2SrZn
_space_group_name_H-M_alt 'P 1'
_space_group_IT_number 1
_cell_length_a 6.184
_cell_length_b 6.184
_cell_length_c 4.741
_cell_angle_alpha 90.00
_cell_angle_beta 90.00
_cell_angle_gamma 90.00
loop_
_space_group_symop_operation_xyz
'x,y,z'
loop_
_atom_site_label
_atom_site_type_symbol
_atom_site_fract_x
_atom_site_fract_y
_atom_site_fract_z
Ba1 Ba 0.000 0.500 0.000
Ba2 Ba 0.500 0.000 0.000
Sr1 Sr 0.000 0.000 0.500
Zn1 Zn 0.500 0.500 0.500
# Mass density in Mg/m³: 3.92
# V in A^3/atom: 45.3
# Calculated total energy in eV per atom: -1.62
# DOS at the Fermi energy in states/eV per atom: 1.63

***

Entry 5:
# PBE Ba2SrZn, relaxed
data_Ba2SrZn
_space_group_name_H-M_alt 'P 1'
_space_group_IT_number 1
_cell_length_a 10.763
_cell_length_b 9.038
_cell_length_c 7.551
_cell_angle_alpha 90.00
_cell_angle_beta 90.00
_cell_angle_gamma 90.00
loop_
_space_group_symop_operation_xyz
'x,y,z'
loop_
_atom_site_label
_atom_site_type_symbol
_atom_site_fract_x
_atom_site_fract_y
_atom_site_fract_z
Ba1 Ba 0.173 0.032 0.088
Ba2 Ba 0.173 0.468 0.088
Ba3 Ba 0.327 0.532 0.588
Ba4 Ba 0.327 0.968 0.588
Ba5 Ba 0.673 0.032 0.412
Ba6 Ba 0.673 0.468 0.412
Ba7 Ba 0.827 0.532 0.912
Ba8 Ba 0.827 0.968 0.912
Sr1 Sr 0.024 0.250 0.578
Sr2 Sr 0.476 0.750 0.078
Sr3 Sr 0.524 0.250 0.922
Sr4 Sr 0.976 0.750 0.422
Zn1 Zn 0.095 0.750 0.817
Zn2 Zn 0.405 0.250 0.317
Zn3 Zn 0.595 0.750 0.683
Zn4 Zn 0.905 0.250 0.183
# Mass density in Mg/m³: 3.87
# V in A^3/atom: 45.9
# Calculated total energy in eV per atom: -1.75
# DOS at the Fermi energy in states/eV per atom: 1.29

***

Entry 6:
# PBE BaSr2Zn2, relaxed
data_BaSr2Zn2
_space_group_name_H-M_alt 'P 1'
_space_group_IT_number 1
_cell_length_a 8.261
_cell_length_b 8.261
_cell_length_c 8.539
_cell_angle_alpha 116.69
_cell_angle_beta 116.69
_cell_angle_gamma 50.33
loop_
_space_group_symop_operation_xyz
'x,y,z'
loop_
_atom_site_label
_atom_site_type_symbol
_atom_site_fract_x
_atom_site_fract_y
_atom_site_fract_z
Ba1 Ba 0.111 0.889 0.750
Ba2 Ba 0.889 0.111 0.250
Sr1 Sr 0.238 0.343 0.189
Sr2 Sr 0.343 0.238 0.689
Sr3 Sr 0.657 0.762 0.311
Sr4 Sr 0.762 0.657 0.811
Zn1 Zn 0.332 0.595 0.073
Zn2 Zn 0.405 0.668 0.427
Zn3 Zn 0.595 0.332 0.573
Zn4 Zn 0.668 0.405 0.927
# Mass density in Mg/m³: 3.78
# V in A^3/atom: 38.9
# Calculated total energy in eV per atom: -1.68
# DOS at the Fermi energy in states/eV per atom: 0.91

***

Entry 7:
# PBE Ba8Sr2Zn, relaxed
data_Ba8Sr2Zn
_space_group_name_H-M_alt 'P 1'
_space_group_IT_number 1
_cell_length_a 11.691
_cell_length_b 11.691
_cell_length_c 8.436
_cell_angle_alpha 94.37
_cell_angle_beta 94.37
_cell_angle_gamma 32.54
loop_
_space_group_symop_operation_xyz
'x,y,z'
loop_
_atom_site_label
_atom_site_type_symbol
_atom_site_fract_x
_atom_site_fract_y
_atom_site_fract_z
Ba1 Ba 0.022 0.022 0.274
Ba2 Ba 0.178 0.178 0.649
Ba3 Ba 0.364 0.364 0.616
Ba4 Ba 0.413 0.413 0.121
Ba5 Ba 0.587 0.587 0.879
Ba6 Ba 0.636 0.636 0.384
Ba7 Ba 0.822 0.822 0.351
Ba8 Ba 0.978 0.978 0.726
Sr1 Sr 0.214 0.214 0.143
Sr2 Sr 0.786 0.786 0.857
Zn1 Zn 0.500 0.500 0.500
# Mass density in Mg/m³: 3.60
# V in A^3/atom: 56.2
# Calculated total energy in eV per atom: -1.80
# DOS at the Fermi energy in states/eV per atom: 1.36

***

Entry 8:
# PBE Ba2SrZn9, relaxed
data_Ba2SrZn9
_space_group_name_H-M_alt 'P 1'
_space_group_IT_number 1
_cell_length_a 9.824
_cell_length_b 9.824
_cell_length_c 9.824
_cell_angle_alpha 34.53
_cell_angle_beta 34.53
_cell_angle_gamma 34.53
loop_
_space_group_symop_operation_xyz
'x,y,z'
loop_
_atom_site_label
_atom_site_type_symbol
_atom_site_fract_x
_atom_site_fract_y
_atom_site_fract_z
Ba1 Ba 0.142 0.142 0.142
Ba2 Ba 0.858 0.858 0.858
Sr1 Sr 0.000 0.000 0.000
Zn1 Zn 0.073 0.578 0.578
Zn2 Zn 0.335 0.335 0.335
Zn3 Zn 0.422 0.422 0.927
Zn4 Zn 0.422 0.927 0.422
Zn5 Zn 0.500 0.500 0.500
Zn6 Zn 0.578 0.073 0.578
Zn7 Zn 0.578 0.578 0.073
Zn8 Zn 0.665 0.665 0.665
Zn9 Zn 0.927 0.422 0.422
# Mass density in Mg/m³: 5.81
# V in A^3/atom: 22.7
# Calculated total energy in eV per atom: -1.55
# DOS at the Fermi energy in states/eV per atom: 0.68